# 1
# ReIr3

A relaxed ReIr3 crystal (PBE, Alexandria).

Output
Electronic total energy: -9.83 eV per atom

abc: 3.878 3.878 3.878
angles: 90.00 90.00 90.00
Fractional positions:
Re: 0.000 0.000 0.000
Ir: 0.000 0.500 0.500
Ir: 0.500 0.000 0.500
Ir: 0.500 0.500 0.000

---

# 2
# RbNaInBi

A relaxed RbNaInBi crystal (PBE, Alexandria).

Output
Electronic total energy: -2.46 eV per atom

abc: 7.253 7.253 7.253
angles: 43.07 43.07 43.07
Fractional positions:
Rb: 0.000 0.000 0.000
Na: 0.474 0.474 0.474
In: 0.212 0.212 0.212
Bi: 0.799 0.799 0.799

---

# 3
# Ac2Al6Pd3

A relaxed Ac2Al6Pd3 crystal (PBE, Alexandria).

Output
Electronic total energy: -4.85 eV per atom

abc: 7.945 7.945 4.311
angles: 90.00 90.00 120.00
Fractional positions:
Ac: 0.333 0.667 0.000
Ac: 0.667 0.333 0.000
Al: 0.000 0.290 0.500
Al: 0.000 0.808 0.000
Al: 0.192 0.192 0.000
Al: 0.290 0.000 0.500
Al: 0.710 0.710 0.500
Al: 0.808 0.000 0.000
Pd: 0.000 0.636 0.500
Pd: 0.364 0.364 0.500
Pd: 0.636 0.000 0.500